VASP calculation (PBE-GGA) on a relaxed structure of BC2.

## Properties
- space group = Cm, No. 8
- formation energy from the elements (eV per atom) = 0.31
- spin magnetization (μB/f.u.) = 0.0
- DOS at the Fermi energy (states/eV per cell) = 1.82
- calculated density (g/cm3) = 3.00
- calculated total energy (eV per atom) = -8.062

a = 6.7912 Å, b = 7.1717 Å, c = 7.1717 Å
α = 159.13°, β = 141.60°, γ = 44.40°
Positions (direct):
B 0.0135 0.3342 0.6793
B 0.1012 0.1225 0.9787
B 0.6499 0.9827 0.6672
B 0.5198 0.8213 0.6985
C 0.6288 0.2827 0.3461
C 0.4964 0.1661 0.3303
C 0.9877 0.9844 0.0033
C 0.1358 0.7865 0.3493
C 0.9839 0.6719 0.3119
C 0.6142 0.6283 0.9859
C 0.4913 0.5097 0.9815
C 0.1275 0.4596 0.6679